--- one ---
{"formula": "Fe8Co", "functional": "PBE", "state": "relaxed", "lattice_angstrom": [[-3.722, 3.722, 1.742], [3.722, -3.722, 1.742], [3.722, 3.722, -1.742]], "species": ["Fe", "Fe", "Fe", "Fe", "Fe", "Fe", "Fe", "Fe", "Co"], "fractional_positions": [[0.000, 0.332, 0.332], [0.000, 0.668, 0.668], [0.332, 0.000, 0.332], [0.333, 0.333, 0.666], [0.333, 0.667, 0.000], [0.667, 0.333, 0.000], [0.667, 0.667, 0.334], [0.668, 0.000, 0.668], [0.000, 0.000, 0.000]], "m_tot_mub_per_fu": 1.75, "sg": "I4/mmm, No. 139", "n_ef_per_ev_cell": 14.3}

--- two ---
{"formula": "Fe8Co", "functional": "PBE", "state": "relaxed", "lattice_angstrom": [[-4.278, 4.278, 1.416], [4.278, -4.278, 1.416], [4.278, 4.278, -1.416]], "species": ["Fe", "Fe", "Fe", "Fe", "Fe", "Fe", "Fe", "Fe", "Co"], "fractional_positions": [[0.000, 0.334, 0.334], [0.000, 0.666, 0.666], [0.334, 0.000, 0.334], [0.334, 0.334, 0.669], [0.334, 0.666, 0.000], [0.666, 0.000, 0.666], [0.666, 0.334, 0.000], [0.666, 0.666, 0.331], [0.000, 0.000, 0.000]], "m_tot_mub_per_fu": 20.89, "sg": "I4/mmm, No. 139", "n_ef_per_ev_cell": 6.2}

Most stable: two. Least stable: one.